No. 1
# NdHoTlPb

Crystalline NdHoTlPb at its relaxed geometry (PBE, Alexandria via LeMat-Bulk).

Relative energy among the computed polymorphs ... 0.00 eV/f.u.
Formation energy from the elements ... -0.415 eV/atom
DFT total energy ... -34.157 eV/cell
Magnetization ... 0.00 μB per cell

Unit cell a=5.067 b=5.067 c=8.934 alpha=90.00 beta=90.00 gamma=90.00
Space group I-4m2 (No. 119)
Unique sites:
Nd: 0.000 0.000 0.000
Ho: 0.000 0.000 0.500
Tl: 0.000 0.500 0.250
Pb: 0.000 0.500 0.750

No. 2
# NdHoTlPb

Crystalline NdHoTlPb at its relaxed geometry (PBE, Alexandria via LeMat-Bulk).

Relative energy among the computed polymorphs ... 0.14 eV/f.u.
Formation energy from the elements ... -0.378 eV/atom
DFT total energy ... -67.735 eV/cell
Magnetization ... 0.00 μB per cell

Unit cell a=7.739 b=7.739 c=7.739 alpha=90.00 beta=90.00 gamma=90.00
Space group F-43m (No. 216)
Unique sites:
Nd: 0.000 0.000 0.000
Ho: 0.000 0.000 0.500
Tl: 0.250 0.250 0.250
Pb: 0.250 0.250 0.750

No. 3
# NdHo4Pd5

Crystalline NdHo4Pd5 at its relaxed geometry (PBE, Alexandria via LeMat-Bulk).

Formation energy from the elements ... -0.867 eV/atom
DFT total energy ... -57.709 eV/cell
Magnetization ... 0.00 μB per cell

Unit cell a=3.478 b=3.478 c=17.985 alpha=90.00 beta=90.00 gamma=90.00
Space group P4/mmm (No. 123)
Unique sites:
Nd: 0.000 0.000 0.000
Ho: 0.000 0.000 0.205
Ho: 0.000 0.000 0.402
Pd: 0.500 0.500 0.112
Pd: 0.500 0.500 0.304
Pd: 0.500 0.500 0.500

No. 4
# NdHo3Pd

Crystalline NdHo3Pd at its relaxed geometry (PBE, Alexandria via LeMat-Bulk).

Relative energy among the computed polymorphs ... 0.72 eV/f.u.
Formation energy from the elements ... -0.177 eV/atom
DFT total energy ... -24.578 eV/cell
Magnetization ... 0.00 μB per cell

Unit cell a=5.456 b=5.456 c=5.456 alpha=90.00 beta=90.00 gamma=90.00
Space group Pm-3m (No. 221)
Unique sites:
Nd: 0.000 0.000 0.000
Ho: 0.000 0.500 0.500
Pd: 0.500 0.500 0.500

No. 5
# NdHoPd

Crystalline NdHoPd at its relaxed geometry (PBE, Alexandria via LeMat-Bulk).

Relative energy among the computed polymorphs ... 0.27 eV/f.u.
Formation energy from the elements ... -0.425 eV/atom
DFT total energy ... -63.250 eV/cell
Magnetization ... 0.00 μB per cell

Unit cell a=7.015 b=7.015 c=7.015 alpha=90.00 beta=90.00 gamma=90.00
Space group F-43m (No. 216)
Unique sites:
Nd: 0.000 0.000 0.000
Ho: 0.000 0.000 0.500
Pd: 0.250 0.250 0.750

No. 6
# Nd2HoPd9

Crystalline Nd2HoPd9 at its relaxed geometry (PBE, Alexandria via LeMat-Bulk).

Formation energy from the elements ... -0.803 eV/atom
DFT total energy ... -70.479 eV/cell
Magnetization ... 0.00 μB per cell

Unit cell a=4.181 b=4.181 c=12.485 alpha=90.00 beta=90.00 gamma=90.00
Space group P4/mmm (No. 123)
Unique sites:
Nd: 0.000 0.000 0.170
Ho: 0.000 0.000 0.500
Pd: 0.000 0.500 0.000
Pd: 0.000 0.500 0.339
Pd: 0.500 0.500 0.168
Pd: 0.500 0.500 0.500

No. 7
# NdHoPd

Crystalline NdHoPd at its relaxed geometry (PBE, Alexandria via LeMat-Bulk).

Relative energy among the computed polymorphs ... 0.00 eV/f.u.
Formation energy from the elements ... -0.514 eV/atom
DFT total energy ... -32.159 eV/cell
Magnetization ... 0.00 μB per cell

Unit cell a=3.594 b=3.594 c=12.401 alpha=90.00 beta=90.00 gamma=90.00
Space group I4mm (No. 107)
Unique sites:
Nd: 0.000 0.000 0.000
Ho: 0.000 0.000 0.276
Pd: 0.000 0.000 0.656

No. 8
# NdHoPd

Crystalline NdHoPd at its relaxed geometry (PBE, Alexandria via LeMat-Bulk).

Relative energy among the computed polymorphs ... 0.01 eV/f.u.
Formation energy from the elements ... -0.509 eV/atom
DFT total energy ... -32.133 eV/cell
Magnetization ... 0.00 μB per cell

Unit cell a=3.597 b=6.666 c=7.258 alpha=106.26 beta=90.02 gamma=105.63
Space group P-1 (No. 2)
Unique sites:
Nd: 0.139 0.277 0.069
Ho: 0.137 0.274 0.567
Pd: 0.496 0.991 0.275

No. 9
# NdHoPd

Crystalline NdHoPd at its relaxed geometry (PBE, Alexandria via LeMat-Bulk).

Relative energy among the computed polymorphs ... 0.16 eV/f.u.
Formation energy from the elements ... -0.460 eV/atom
DFT total energy ... -63.676 eV/cell
Magnetization ... 0.00 μB per cell

Unit cell a=6.728 b=7.084 c=8.501 alpha=90.00 beta=124.20 gamma=90.00
Space group P2_1/c (No. 14)
Unique sites:
Nd: 0.244 0.163 0.438
Ho: 0.250 0.656 0.570
Pd: 0.301 0.529 0.282

No. 10
# Nd2HoPd

Crystalline Nd2HoPd at its relaxed geometry (PBE, Alexandria via LeMat-Bulk).

Relative energy among the computed polymorphs ... 0.35 eV/f.u.
Formation energy from the elements ... -0.316 eV/atom
DFT total energy ... -20.572 eV/cell
Magnetization ... 0.00 μB per cell

Unit cell a=3.703 b=3.703 c=8.392 alpha=90.00 beta=90.00 gamma=90.00
Space group P4/mmm (No. 123)
Unique sites:
Nd: 0.000 0.000 0.205
Ho: 0.500 0.500 0.500
Pd: 0.500 0.500 0.000

Question: Which formula does entry 9 have?
Answer: NdHoPd

Question: What is the magnetization in the fourth record?
Answer: 0.00 μB per cell

Question: What is the magnetization in the fifth record?
Answer: 0.00 μB per cell

Question: The highest formation energy from the elements belongs to which entry?
Answer: NdHo3Pd